MgGeHRh2 | PBE | optimized geometry

Properties
VASP energy = -5.237 eV per atom
V = 12.15 A^3/atom

Lattice parameters (Å, degrees): 4.0255 4.0255 3.7497 90.00 90.00 90.00
Space group P4/mmm (No. 123)
Inequivalent atoms, fractional coordinates:
Mg  0.0000  0.0000  0.0000 [1 per cell]
Ge  0.5000  0.5000  0.0000 [1 per cell]
H  0.0000  0.0000  0.5000 [1 per cell]
Rh  0.0000  0.5000  0.5000 [2 per cell]